1.
The following is a DFT calculation (PBE-GGA) of a relaxed structure of Dy2HfCd.

Properties
total magnetization	0.0	μB per formula unit
offset from the most stable computed form	0.415	eV/atom
total DFT energy (no corrections)	-4.698	eV per atom
crystal system	trigonal
calculated formation energy	0.3201	eV per atom

Unit cell a=3.2373 b=3.2373 c=35.4601 alpha=90.00 beta=90.00 gamma=120.00
Space group R-3m (No. 166, hexagonal axes)
One atom of each set of equivalent atoms:
Dy (0.0000, 0.0000, 0.0898) x6
Hf (0.0000, 0.0000, 0.0000) x3
Cd (0.0000, 0.0000, 0.5000) x3

2.
The following is a DFT calculation (PBE-GGA) of a relaxed structure of AlTlCo2Te.

Properties
total magnetization	2.3	μB per formula unit
total DFT energy (no corrections)	-3.791	eV per atom
crystal system	tetragonal
formation energy (no corrections)	4.5	eV/f.u.

Unit cell a=4.700 b=4.700 c=5.575 alpha=90.00 beta=90.00 gamma=90.00
Space group P4/mmm (No. 123)
One atom of each set of equivalent atoms:
Al (0.000, 0.000, 0.000) x1
Tl (0.500, 0.500, 0.000) x1
Co (0.000, 0.500, 0.500) x2
Te (0.000, 0.000, 0.500) x1

3.
The following is a DFT calculation (PBE-GGA) of a relaxed structure of GaTeSe2O.

Properties
total magnetization	0.0	μB per formula unit
total DFT energy (no corrections)	-3.663	eV per atom
crystal system	tetragonal
formation energy (no corrections)	-0.2	eV/f.u.

Unit cell a=5.461 b=5.461 c=4.010 alpha=90.00 beta=90.00 gamma=90.00
Space group P4/mmm (No. 123)
One atom of each set of equivalent atoms:
Ga (0.000, 0.000, 0.000) x1
Te (0.500, 0.500, 0.500) x1
Se (0.000, 0.500, 0.500) x2
O (0.500, 0.500, 0.000) x1

4.
The following is a DFT calculation (PBE-GGA) of a relaxed structure of CsSrTmI6.

Properties
total magnetization	0.0	μB per formula unit
total DFT energy (no corrections)	-3.350	eV per atom
crystal system	trigonal
formation energy (no corrections)	-13.8	eV/f.u.

Unit cell a=8.2427 b=8.2427 c=16.8837 alpha=90.00 beta=90.00 gamma=120.00
Space group P-31c (No. 163)
One atom of each set of equivalent atoms:
Cs (0.0000, 0.0000, 0.0000) x2
Sr (0.3333, 0.6667, 0.2500) x2
Tm (0.3333, 0.6667, 0.7500) x2
I (0.0258, 0.3846, 0.6443) x12

Q: total DFT energy (no corrections) of number 1 (Dy2HfCd)?
A: -4.698 eV per atom

Q: The highest total magnetization belongs to which entry?
A: AlTlCo2Te